First-principles (SCAN) data for a crystal of SrYAl relaxed with PBEsol, as listed in the Alexandria database.

Summary:
For the formation energy, the calculation gives 0.039 eV per atom. The value obtained for the size of the total moment is 0.00 μB per cell. Its space group is No. 156.

a b c (Å): 5.2801 5.2801 3.6352
angles (deg): 90.00 90.00 120.00
Sites, in units of the cell vectors:
Sr (0.0000, 0.0000, 0.0000)
Y (0.3333, 0.6667, 0.4230)
Al (0.6667, 0.3333, 0.6281)